Tl2SnHgSe4 after structural relaxation. Source: Alexandria, functional GGA-PBEsol.

Summary:
**Total magnetization**: 0.000 μB/atom
**Crystal system**: tetragonal
**Uncorrected formation energy**: -7.42 kcal/mol of atoms

Cell: 7.9352 7.9352 6.8495 Å, 90.00 90.00 90.00°
Last column: nearest neighbours and their distance in Å.
Space group I-42m (No. 121)
Unique sites:
Tl 0.0000 0.5000 0.0000 x4  8 Se 3.33-3.44, 2 Tl 3.42
Sn 0.0000 0.0000 0.0000 x2  4 Se 2.57
Hg 0.0000 0.0000 0.5000 x2  4 Se 2.71
Se 0.1785 0.1785 0.7661 x8  1 Sn 2.57, 1 Hg 2.71


Sc3TcW after structural relaxation. Source: Alexandria, functional GGA-PBEsol.

Summary:
**Total magnetization**: 0.125 μB/atom
**Crystal system**: cubic
**Energy relative to the elements**: 976 meV per atom

Cell: 4.7487 4.7487 4.7487 Å, 90.00 90.00 90.00°
Last column: nearest neighbours and their distance in Å.
Space group Pm-3m (No. 221)
Unique sites:
Sc 0.0000 0.0000 0.5000 x3  2 Tc 2.37
Tc 0.0000 0.0000 0.0000 x1  6 Sc 2.37
W 0.5000 0.5000 0.5000 x1  12 Sc 3.36


Question: total magnetization of number 1 (Tl2SnHgSe4)?
Answer: 0.000 μB/atom


Question: Which of these has the lowest total magnetization?
Answer: Tl2SnHgSe4